GGA-PBE CaTaTc2, relaxed; energy above the most stable polymorph in this dataset = 0.63 eV/f.u.; density of states at the Fermi level = 4.34 states/eV/f.u.; total magnetic moment = 0.0 μB/cell; energy = -8.31 eV per atom
1.0
0.000 3.269 3.269
3.269 0.000 3.269
3.269 3.269 0.000
Ca Ta Tc
1 1 2
Direct
0.000 0.000 0.000 Ca
0.500 0.500 0.500 Ta
0.250 0.250 0.250 Tc
0.750 0.750 0.750 Tc